[1]
This record from Alexandria via LeMat-Bulk describes TiNiBi3 after structural relaxation. The functional is PBE-GGA.

Properties
The energy relative to the lowest polymorph listed for this composition comes out at 0 meV per atom. Its space group is Pm-3m. As for the total magnetization: 0.00 μB/cell. As for the formation energy: 0.57 eV per atom. The crystal system is cubic.

abc: 5.1227 5.1227 5.1227
angles: 90.00 90.00 90.00
With the nearest neighbours (Å) after each atom.
Positions (direct):
Bi1 0.5000 0.0000 0.0000  2 Ni 2.56
Bi2 0.0000 0.5000 0.0000  2 Ni 2.56
Ni1 0.0000 0.0000 0.0000  6 Bi 2.56
Ti1 0.5000 0.5000 0.5000  12 Bi 3.62
Bi3 0.0000 0.0000 0.5000  2 Ni 2.56

[2]
This record from Alexandria via LeMat-Bulk describes Ti5NiBi after structural relaxation. The functional is PBE-GGA.

Properties
Its space group is Imma. As for the total magnetization: 0.00 μB/cell. As for the formation energy: -0.06 eV per atom. The crystal system is orthorhombic.

abc: 7.3566 7.3566 10.3607
angles: 45.23 45.23 75.29
With the nearest neighbours (Å) after each atom.
Positions (direct):
Ti1 0.4859 0.5142 0.3777  4 Ti 2.55-2.77
Ni1 0.0000 0.0000 0.5000  4 Ti 2.61, 2 Bi 2.87
Ti2 0.5000 0.0000 0.2411  2 Ni 2.61, 6 Ti 2.66-2.89
Ti3 0.8121 0.1880 0.7500  8 Ti 2.88-2.99, 1 Bi 2.92, 2 Ni 3.09
Bi1 0.1366 0.8634 0.7500  2 Ni 2.87, 5 Ti 2.92-3.16
Bi2 0.8634 0.1366 0.2500  2 Ni 2.87, 5 Ti 2.92-3.16
Ti4 0.0000 0.5000 0.2589  2 Ni 2.61, 6 Ti 2.66-2.89
Ti5 0.0000 0.5000 0.7411  2 Ni 2.61, 6 Ti 2.66-2.89
Ti6 0.5000 0.0000 0.7589  2 Ni 2.61, 6 Ti 2.66-2.89
Ni2 0.0000 0.0000 0.0000  4 Ti 2.61, 2 Bi 2.87
Ti7 0.1880 0.8121 0.2500  8 Ti 2.88-2.99, 1 Bi 2.92, 2 Ni 3.09
Ti8 0.5141 0.4858 0.6223  4 Ti 2.55-2.77
Ti9 0.5142 0.4859 0.8777  4 Ti 2.55-2.77
Ti10 0.4858 0.5141 0.1223  4 Ti 2.55-2.77

[3]
This record from Alexandria via LeMat-Bulk describes Ti6NiBi3 after structural relaxation. The functional is PBE-GGA.

Properties
Its space group is P2_1/m. As for the total magnetization: 2.76 μB/cell. As for the formation energy: -0.08 eV per atom. The crystal system is monoclinic.

abc: 4.5355 8.8190 10.8581
angles: 114.61 90.00 90.00
With the nearest neighbours (Å) after each atom.
Positions (direct):
Ni1 0.7500 0.6641 0.6381  3 Ti 2.30-2.56
Ti1 0.7500 0.4774 0.3798  3 Ni 2.56-2.59, 1 Ti 2.72
Ti2 0.7500 0.8467 0.8986  1 Ni 2.61, 2 Ti 2.80, 4 Bi 2.84-2.89
Ti3 0.2500 0.1533 0.1014  1 Ni 2.61, 2 Ti 2.80, 4 Bi 2.84-2.89
Ti4 0.7500 0.0642 0.2072  6 Ti 2.77-3.09, 1 Bi 2.94
Bi1 0.2500 0.5133 0.2087  1 Ni 2.72, 7 Ti 2.82-3.03
Ti5 0.7500 0.2638 0.5024  4 Ti 2.72-2.94, 1 Bi 2.93, 2 Ni 2.95
Bi2 0.7500 0.4867 0.7913  1 Ni 2.72, 7 Ti 2.82-3.03
Ti6 0.7500 0.9280 0.6441  1 Ni 2.30
Ti7 0.2500 0.5226 0.6202  3 Ni 2.56-2.59, 1 Ti 2.72
Bi3 0.7500 0.8571 0.3605  7 Ti 2.88-3.13
Ti8 0.2500 0.4001 0.9245  6 Bi 2.82-3.02, 2 Ti 2.92
Ti9 0.2500 0.9358 0.7928  6 Ti 2.77-3.09, 1 Bi 2.94
Bi4 0.2500 0.1429 0.6395  7 Ti 2.88-3.13
Ti10 0.2500 0.0720 0.3559  1 Ni 2.30
Bi5 0.7500 0.1911 0.9538  7 Ti 2.84-3.16
Ti11 0.2500 0.7362 0.4976  4 Ti 2.72-2.94, 1 Bi 2.93, 2 Ni 2.95
Ti12 0.7500 0.5999 0.0755  6 Bi 2.82-3.02, 2 Ti 2.92
Bi6 0.2500 0.8089 0.0462  7 Ti 2.84-3.16
Ni2 0.2500 0.3359 0.3619  3 Ti 2.30-2.56

[4]
This record from Alexandria via LeMat-Bulk describes Ti12NiBi6 after structural relaxation. The functional is PBE-GGA.

Properties
Its space group is R-3. As for the total magnetization: 0.01 μB/cell. As for the formation energy: 0.04 eV per atom. The crystal system is trigonal.

abc: 7.2874 7.2874 7.2874
angles: 94.67 94.67 94.67
With the nearest neighbours (Å) after each atom.
Positions (direct):
Ti1 0.1366 0.3526 0.0475  1 Ni 2.66, 3 Ti 2.74-2.91, 1 Bi 2.98
Ti2 0.8634 0.6474 0.9525  1 Ni 2.66, 3 Ti 2.74-2.91, 1 Bi 2.98
Bi1 0.2744 0.6958 0.8877  9 Ti 2.87-3.20, 1 Ni 3.21
Ti3 0.6474 0.9525 0.8634  1 Ni 2.66, 3 Ti 2.74-2.91, 1 Bi 2.98
Ti4 0.9525 0.8634 0.6474  1 Ni 2.66, 3 Ti 2.74-2.91, 1 Bi 2.98
Bi2 0.3042 0.1123 0.7256  9 Ti 2.87-3.20, 1 Ni 3.21
Ni1 0.0000 0.0000 0.0000  6 Ti 2.66
Ti5 0.3526 0.0475 0.1366  1 Ni 2.66, 3 Ti 2.74-2.91, 1 Bi 2.98
Bi3 0.6958 0.8877 0.2744  9 Ti 2.87-3.20, 1 Ni 3.21
Bi4 0.1123 0.7256 0.3042  9 Ti 2.87-3.20, 1 Ni 3.21
Ti6 0.4619 0.7722 0.5499  5 Ti 2.74-2.97, 4 Bi 2.87-3.05
Ti7 0.5499 0.4619 0.7722  5 Ti 2.74-2.97, 4 Bi 2.87-3.05
Ti8 0.5381 0.2278 0.4501  5 Ti 2.74-2.97, 4 Bi 2.87-3.05
Ti9 0.0475 0.1366 0.3526  1 Ni 2.66, 3 Ti 2.74-2.91, 1 Bi 2.98
Bi5 0.8877 0.2744 0.6958  9 Ti 2.87-3.20, 1 Ni 3.21
Bi6 0.7256 0.3042 0.1123  9 Ti 2.87-3.20, 1 Ni 3.21
Ti10 0.7722 0.5499 0.4619  5 Ti 2.74-2.97, 4 Bi 2.87-3.05
Ti11 0.4501 0.5381 0.2278  5 Ti 2.74-2.97, 4 Bi 2.87-3.05
Ti12 0.2278 0.4501 0.5381  5 Ti 2.74-2.97, 4 Bi 2.87-3.05